Record 1
VASP calculation (PBE-GGA) on a relaxed structure of Pr4Nd10Tm.

Values from the calculation:
Fermi-level density of states = 1.37 states/eV per atom
Calculated formation energy = 4.6 eV per formula unit
Total energy = -4.444 eV per atom
Space-group type = I4/m (87)

Cell: 10.643 8.877 8.877 Å, 68.94 53.17 53.17°
Fractional positions:
1 Pr 0.326 0.731 0.616
2 Pr 0.942 0.384 0.731
3 Pr 0.058 0.616 0.269
4 Pr 0.674 0.269 0.384
5 Nd 0.250 0.500 0.500
6 Nd 0.546 0.321 0.909
7 Nd 0.132 0.091 0.321
8 Nd 0.544 0.909 0.679
9 Nd 0.777 0.679 0.091
10 Nd 0.454 0.679 0.091
11 Nd 0.750 0.500 0.500
12 Nd 0.223 0.321 0.909
13 Nd 0.456 0.091 0.321
14 Nd 0.868 0.909 0.679
15 Tm 0.000 0.000 0.000

***

Record 2
VASP calculation (PBE-GGA) on a relaxed structure of Pr3NdTm3.

Values from the calculation:
Fermi-level density of states = 1.71 states/eV per atom
Calculated formation energy = 0.2 eV per formula unit
Total energy = -4.621 eV per atom
Offset from the most stable computed form = 0.000 eV per atom
Space-group type = P6_3/m (176)

Cell: 5.790 9.703 9.702 Å, 119.99 90.00 90.00°
Fractional positions:
1 Pr 0.750 0.756 0.807
2 Pr 0.750 0.051 0.244
3 Pr 0.750 0.193 0.948
4 Pr 0.250 0.244 0.193
5 Pr 0.250 0.949 0.756
6 Pr 0.250 0.807 0.052
7 Nd 0.750 0.333 0.667
8 Nd 0.250 0.667 0.333
9 Tm 0.250 0.520 0.615
10 Tm 0.250 0.096 0.481
11 Tm 0.250 0.385 0.904
12 Tm 0.750 0.480 0.385
13 Tm 0.750 0.904 0.519
14 Tm 0.750 0.615 0.096

***

Record 3
VASP calculation (PBE-GGA) on a relaxed structure of Pr7Nd12Tm.

Values from the calculation:
Fermi-level density of states = 2.01 states/eV per atom
Calculated formation energy = 4.2 eV per formula unit
Total energy = -4.546 eV per atom
Offset from the most stable computed form = 0.000 eV per atom
Space-group type = R-3 (148)

Cell: 8.965 8.965 8.965 Å, 87.69 87.69 87.69°
Fractional positions:
1 Pr 0.851 0.607 0.923
2 Pr 0.393 0.077 0.149
3 Pr 0.077 0.149 0.393
4 Pr 0.500 0.500 0.500
5 Pr 0.923 0.851 0.607
6 Pr 0.607 0.923 0.851
7 Pr 0.149 0.393 0.077
8 Nd 0.857 0.253 0.726
9 Nd 0.747 0.274 0.143
10 Nd 0.614 0.138 0.493
11 Nd 0.862 0.507 0.386
12 Nd 0.274 0.143 0.747
13 Nd 0.507 0.386 0.862
14 Nd 0.493 0.614 0.138
15 Nd 0.726 0.857 0.253
16 Nd 0.138 0.493 0.614
17 Nd 0.386 0.862 0.507
18 Nd 0.253 0.726 0.857
19 Nd 0.143 0.747 0.274
20 Tm 0.000 0.000 0.000

***

Record 4
VASP calculation (PBE-GGA) on a relaxed structure of Pr4Nd3Tm5.

Values from the calculation:
Fermi-level density of states = 1.57 states/eV per atom
Calculated formation energy = 2.6 eV per formula unit
Total energy = -4.430 eV per atom
Offset from the most stable computed form = 0.198 eV per atom
Space-group type = C2/m (12)

Cell: 6.010 8.617 9.726 Å, 104.91 72.00 69.59°
Fractional positions:
1 Pr 0.863 0.224 0.050
2 Pr 0.176 0.035 0.613
3 Pr 0.824 0.965 0.387
4 Pr 0.137 0.776 0.950
5 Nd 0.528 0.688 0.257
6 Nd 0.000 0.500 0.500
7 Nd 0.472 0.312 0.743
8 Tm 0.631 0.938 0.801
9 Tm 0.500 0.500 0.500
10 Tm 0.208 0.461 0.122
11 Tm 0.792 0.539 0.878
12 Tm 0.369 0.062 0.199

***

Record 5
VASP calculation (PBE-GGA) on a relaxed structure of Pr5NdTm4.

Values from the calculation:
Fermi-level density of states = 1.56 states/eV per atom
Calculated formation energy = 1.4 eV per formula unit
Total energy = -4.511 eV per atom
Offset from the most stable computed form = 0.084 eV per atom
Space-group type = C2/m (12)

Cell: 3.596 10.611 9.330 Å, 83.55 101.11 90.00°
Fractional positions:
1 Pr 0.810 0.601 0.620
2 Pr 0.858 0.228 0.717
3 Pr 0.142 0.772 0.283
4 Pr 0.500 0.500 0.000
5 Pr 0.190 0.399 0.380
6 Nd 0.500 0.000 0.000
7 Tm 0.317 0.914 0.635
8 Tm 0.954 0.763 0.907
9 Tm 0.683 0.086 0.365
10 Tm 0.046 0.237 0.093

***

Record 6
VASP calculation (PBE-GGA) on a relaxed structure of Pr4Nd3Tm5.

Values from the calculation:
Fermi-level density of states = 1.34 states/eV per atom
Calculated formation energy = 0.2 eV per formula unit
Total energy = -4.629 eV per atom
Offset from the most stable computed form = 0.000 eV per atom
Space-group type = P-1 (2)

Cell: 7.210 9.564 13.059 Å, 137.37 56.14 139.10°
Fractional positions:
1 Pr 0.083 0.169 0.834
2 Pr 0.829 0.662 0.833
3 Pr 0.171 0.338 0.167
4 Pr 0.917 0.831 0.166
5 Nd 0.745 0.495 0.499
6 Nd 0.000 0.000 0.500
7 Nd 0.255 0.505 0.501
8 Tm 0.335 0.671 0.835
9 Tm 0.500 0.000 0.500
10 Tm 0.584 0.165 0.834
11 Tm 0.416 0.835 0.166
12 Tm 0.665 0.329 0.165

***

Record 7
VASP calculation (PBE-GGA) on a relaxed structure of PrNd3Tm2.

Values from the calculation:
Fermi-level density of states = 1.39 states/eV per atom
Calculated formation energy = 0.5 eV per formula unit
Total energy = -4.585 eV per atom
Offset from the most stable computed form = 0.000 eV per atom
Space-group type = C2/m (12)

Cell: 3.551 8.966 14.502 Å, 64.29 82.97 78.58°
Fractional positions:
1 Pr 0.406 0.475 0.712
2 Pr 0.594 0.525 0.288
3 Nd 0.092 0.025 0.790
4 Nd 0.908 0.975 0.210
5 Nd 0.581 0.797 0.041
6 Nd 0.419 0.203 0.959
7 Nd 0.761 0.863 0.615
8 Nd 0.239 0.137 0.385
9 Tm 0.760 0.597 0.884
10 Tm 0.240 0.403 0.116
11 Tm 0.584 0.283 0.549
12 Tm 0.416 0.717 0.451

***

Record 8
VASP calculation (PBE-GGA) on a relaxed structure of Pr6Nd7Tm16.

Values from the calculation:
Fermi-level density of states = 1.57 states/eV per atom
Calculated formation energy = 6.6 eV per formula unit
Total energy = -4.378 eV per atom
Space-group type = Fm-3m (225)

Cell: 11.244 11.244 11.244 Å, 60.00 60.00 60.00°
Fractional positions:
1 Pr 0.264 0.736 0.264
2 Pr 0.736 0.264 0.736
3 Pr 0.736 0.264 0.264
4 Pr 0.264 0.736 0.736
5 Pr 0.736 0.736 0.264
6 Pr 0.264 0.264 0.736
7 Nd 0.000 0.000 0.000
8 Nd 0.500 0.000 0.500
9 Nd 0.000 0.500 0.000
10 Nd 0.000 0.500 0.500
11 Nd 0.500 0.000 0.000
12 Nd 0.000 0.000 0.500
13 Nd 0.500 0.500 0.000
14 Tm 0.871 0.871 0.388
15 Tm 0.871 0.871 0.871
16 Tm 0.871 0.388 0.871
17 Tm 0.388 0.871 0.871
18 Tm 0.129 0.129 0.129
19 Tm 0.129 0.129 0.612
20 Tm 0.129 0.612 0.129
21 Tm 0.612 0.129 0.129
22 Tm 0.652 0.652 0.044
23 Tm 0.652 0.652 0.652
24 Tm 0.652 0.044 0.652
25 Tm 0.044 0.652 0.652
26 Tm 0.348 0.348 0.348
27 Tm 0.348 0.348 0.956
28 Tm 0.348 0.956 0.348
29 Tm 0.956 0.348 0.348

***

Record 9
VASP calculation (PBE-GGA) on a relaxed structure of PrNd6Tm12.

Values from the calculation:
Fermi-level density of states = 1.58 states/eV per atom
Calculated formation energy = 2.2 eV per formula unit
Total energy = -4.463 eV per atom
Offset from the most stable computed form = 0.000 eV per atom
Space-group type = R-3m (166)

Cell: 8.622 8.622 8.622 Å, 79.63 79.63 79.63°
Fractional positions:
1 Pr 0.000 0.000 0.000
2 Nd 0.768 0.768 0.165
3 Nd 0.835 0.232 0.232
4 Nd 0.232 0.835 0.232
5 Nd 0.232 0.232 0.835
6 Nd 0.165 0.768 0.768
7 Nd 0.768 0.165 0.768
8 Tm 0.804 0.486 0.486
9 Tm 0.486 0.804 0.486
10 Tm 0.486 0.486 0.804
11 Tm 0.196 0.514 0.514
12 Tm 0.514 0.196 0.514
13 Tm 0.514 0.514 0.196
14 Tm 0.138 0.138 0.480
15 Tm 0.862 0.520 0.862
16 Tm 0.520 0.862 0.862
17 Tm 0.862 0.862 0.520
18 Tm 0.138 0.480 0.138
19 Tm 0.480 0.138 0.138

***

Record 10
VASP calculation (PBE-GGA) on a relaxed structure of Pr3Nd4Tm2.

Values from the calculation:
Fermi-level density of states = 1.69 states/eV per atom
Calculated formation energy = 0.9 eV per formula unit
Total energy = -4.600 eV per atom
Offset from the most stable computed form = 0.030 eV per atom
Space-group type = C2/m (12)

Cell: 6.019 10.359 13.171 Å, 151.59 90.00 106.89°
Fractional positions:
1 Pr 0.437 0.874 0.547
2 Pr 0.000 0.000 0.000
3 Pr 0.563 0.126 0.453
4 Nd 0.315 0.631 0.650
5 Nd 0.685 0.369 0.350
6 Nd 0.132 0.265 0.911
7 Nd 0.868 0.735 0.089
8 Tm 0.227 0.454 0.783
9 Tm 0.773 0.546 0.217

***

Record 11
VASP calculation (PBE-GGA) on a relaxed structure of Pr3NdTm7.

Values from the calculation:
Fermi-level density of states = 1.46 states/eV per atom
Calculated formation energy = 2.0 eV per formula unit
Total energy = -4.404 eV per atom
Offset from the most stable computed form = 0.058 eV per atom
Space-group type = P3m1 (156)

Cell: 8.707 7.039 7.039 Å, 120.00 90.00 90.00°
Fractional positions:
1 Pr 0.785 0.500 0.500
2 Pr 0.785 0.500 0.001
3 Pr 0.785 0.999 0.500
4 Nd 0.444 0.333 0.667
5 Tm 0.122 0.167 0.833
6 Tm 0.122 0.167 0.334
7 Tm 0.124 0.667 0.333
8 Tm 0.443 0.833 0.167
9 Tm 0.443 0.335 0.167
10 Tm 0.443 0.833 0.665
11 Tm 0.122 0.666 0.833

***

Record 12
VASP calculation (PBE-GGA) on a relaxed structure of Pr2Nd4Tm5.

Values from the calculation:
Fermi-level density of states = 1.68 states/eV per atom
Calculated formation energy = 0.6 eV per formula unit
Total energy = -4.581 eV per atom
Offset from the most stable computed form = 0.000 eV per atom
Space-group type = P-1 (2)

Cell: 3.597 8.656 14.526 Å, 90.62 125.77 89.57°
Fractional positions:
1 Pr 0.943 0.651 0.898
2 Pr 0.057 0.349 0.102
3 Nd 0.066 0.206 0.528
4 Nd 0.242 0.746 0.178
5 Nd 0.934 0.794 0.472
6 Nd 0.758 0.254 0.822
7 Tm 0.840 0.528 0.648
8 Tm 0.160 0.472 0.352
9 Tm 0.021 0.927 0.716
10 Tm 0.500 0.000 0.000
11 Tm 0.979 0.073 0.284

***

The highest total energy belongs to which entry?
Pr6Nd7Tm16

***

Please write out number 11 again, unchanged.
VASP calculation (PBE-GGA) on a relaxed structure of Pr3NdTm7.

Values from the calculation:
Fermi-level density of states = 1.46 states/eV per atom
Calculated formation energy = 2.0 eV per formula unit
Total energy = -4.404 eV per atom
Offset from the most stable computed form = 0.058 eV per atom
Space-group type = P3m1 (156)

Cell: 8.707 7.039 7.039 Å, 120.00 90.00 90.00°
Fractional positions:
1 Pr 0.785 0.500 0.500
2 Pr 0.785 0.500 0.001
3 Pr 0.785 0.999 0.500
4 Nd 0.444 0.333 0.667
5 Tm 0.122 0.167 0.833
6 Tm 0.122 0.167 0.334
7 Tm 0.124 0.667 0.333
8 Tm 0.443 0.833 0.167
9 Tm 0.443 0.335 0.167
10 Tm 0.443 0.833 0.665
11 Tm 0.122 0.666 0.833

***

Copy entry 4 word for word.
VASP calculation (PBE-GGA) on a relaxed structure of Pr4Nd3Tm5.

Values from the calculation:
Fermi-level density of states = 1.57 states/eV per atom
Calculated formation energy = 2.6 eV per formula unit
Total energy = -4.430 eV per atom
Offset from the most stable computed form = 0.198 eV per atom
Space-group type = C2/m (12)

Cell: 6.010 8.617 9.726 Å, 104.91 72.00 69.59°
Fractional positions:
1 Pr 0.863 0.224 0.050
2 Pr 0.176 0.035 0.613
3 Pr 0.824 0.965 0.387
4 Pr 0.137 0.776 0.950
5 Nd 0.528 0.688 0.257
6 Nd 0.000 0.500 0.500
7 Nd 0.472 0.312 0.743
8 Tm 0.631 0.938 0.801
9 Tm 0.500 0.500 0.500
10 Tm 0.208 0.461 0.122
11 Tm 0.792 0.539 0.878
12 Tm 0.369 0.062 0.199